# CsNi3C

CsNi3C after structural relaxation (PBE, the Alexandria database).

POSCAR file:
```
CsNi3C
1.0
4.7587 0.0000 0.0000
0.0000 4.7587 0.0000
0.0000 0.0000 4.7587
Cs Ni C
1 3 1
Cartesian
0.0000 0.0000 0.0000
0.0000 2.3794 0.0000
0.0000 0.0000 2.3794
2.3794 0.0000 0.0000
2.3794 2.3794 2.3794
```

Values from the calculation:
For the density of states at the Fermi level, the calculation gives 1.147 states/eV per atom. For the energy above the lowest structure with this stoichiometry, the calculation gives 2362 meV/atom. The total energy is -2.1988 eV/atom. For the volume, the calculation gives 21.6 Å³ per atom. For the formation energy, the calculation gives 16.43 eV per formula unit. Its space-group type is Pm-3m (221).